LiVOF3 | Alexandria via LeMat-Bulk | PBE+U | relaxed; size of the total moment = 1.000 μB/f.u.; electronic total energy = -5.90 eV/atom; calculated density = 2.94 g/cm3; polymorph energy (0 for the lowest one) = 0.068 eV per atom
1.0
5.526 0.000 0.000
0.000 5.526 0.000
0.000 0.000 9.696
Li V O F
4 4 4 12
Direct
0.115 0.854 0.000
0.146 0.115 0.250
0.854 0.885 0.750
0.885 0.146 0.500
0.142 0.402 0.751
0.402 0.858 0.501
0.598 0.142 0.001
0.858 0.598 0.251
0.090 0.656 0.834
0.344 0.090 0.084
0.656 0.910 0.584
0.910 0.344 0.334
0.027 0.833 0.372
0.133 0.611 0.136
0.167 0.027 0.622
0.309 0.544 0.586
0.389 0.133 0.386
0.456 0.309 0.836
0.544 0.691 0.336
0.611 0.867 0.886
0.691 0.456 0.086
0.833 0.973 0.122
0.867 0.389 0.636
0.973 0.167 0.872